1 | Li3TiCo3O8 | GGA-PBEsol | optimized geometry

a b c (Å): 5.6624 5.6624 8.9719
angles (deg): 90.00 90.00 120.00
With the nearest neighbours (Å) after each atom.
Sites, in units of the cell vectors:
Li1 0.1714 0.3428 0.0000  6 O 1.95-2.17
Li2 0.1714 0.8286 0.0000  6 O 1.95-2.17
Li3 0.3428 0.1714 0.5000  6 O 1.95-2.17
Li4 0.6572 0.8286 0.0000  6 O 1.95-2.17
Li5 0.8286 0.1714 0.5000  6 O 1.95-2.17
Li6 0.8286 0.6572 0.5000  6 O 1.95-2.17
Ti1 0.3333 0.6667 0.5603  6 O 1.89-2.07
Ti2 0.6667 0.3333 0.0603  6 O 1.89-2.07
Co1 0.1682 0.3363 0.2736  6 O 1.89-1.94
Co2 0.1682 0.8318 0.2736  6 O 1.89-1.94
Co3 0.3363 0.1682 0.7736  6 O 1.89-1.94
Co4 0.6637 0.8318 0.2736  6 O 1.89-1.94
Co5 0.8318 0.1682 0.7736  6 O 1.89-1.94
Co6 0.8318 0.6637 0.7736  6 O 1.89-1.94
O1 0.0000 0.0000 0.3769  3 Co 1.89, 3 Li 2.01
O2 0.0000 0.0000 0.8769  3 Co 1.89, 3 Li 2.01
O3 0.0363 0.5181 0.3959  2 Co 1.89, 2 Li 1.95, 1 Ti 2.07
O4 0.1611 0.3221 0.6542  1 Ti 1.89, 2 Co 1.94
O5 0.1611 0.8389 0.6542  1 Ti 1.89, 2 Co 1.94
O6 0.3221 0.1611 0.1542  1 Ti 1.89, 2 Co 1.94
O7 0.3333 0.6667 0.1643  3 Co 1.89
O8 0.4819 0.5181 0.3959  2 Co 1.89, 2 Li 1.95, 1 Ti 2.07
O9 0.4819 0.9637 0.3959  2 Co 1.89, 2 Li 1.95, 1 Ti 2.07
O10 0.5181 0.0363 0.8959  2 Co 1.89, 2 Li 1.95, 1 Ti 2.07
O11 0.5181 0.4819 0.8959  2 Co 1.89, 2 Li 1.95, 1 Ti 2.07
O12 0.6667 0.3333 0.6643  3 Co 1.89
O13 0.6779 0.8389 0.6542  1 Ti 1.89, 2 Co 1.94
O14 0.8389 0.1611 0.1542  1 Ti 1.89, 2 Co 1.94
O15 0.8389 0.6779 0.1542  1 Ti 1.89, 2 Co 1.94
O16 0.9637 0.4819 0.8959  2 Co 1.89, 2 Li 1.95, 1 Ti 2.07

Space-group type ... P6_3mc (186)

2 | Li3TiCo3O8 | GGA-PBEsol | optimized geometry

a b c (Å): 5.7902 5.7902 5.7902
angles (deg): 57.78 57.78 57.78
With the nearest neighbours (Å) after each atom.
Sites, in units of the cell vectors:
Li1 0.0000 0.5000 0.5000  6 O 2.11-2.14
Li2 0.5000 0.0000 0.5000  6 O 2.11-2.14
Li3 0.5000 0.5000 0.0000  6 O 2.11-2.14
Ti1 0.5000 0.5000 0.5000  6 O 1.95
Co1 0.0000 0.0000 0.5000  6 O 1.90-1.92
Co2 0.0000 0.5000 0.0000  6 O 1.90-1.92
Co3 0.5000 0.0000 0.0000  6 O 1.90-1.92
O1 0.2355 0.2355 0.2355  3 Co 1.90
O2 0.2361 0.7426 0.7426  2 Co 1.92, 1 Ti 1.95, 2 Li 2.11
O3 0.2574 0.2574 0.7639  2 Co 1.92, 1 Ti 1.95, 2 Li 2.11
O4 0.2574 0.7639 0.2574  2 Co 1.92, 1 Ti 1.95, 2 Li 2.11
O5 0.7426 0.2361 0.7426  2 Co 1.92, 1 Ti 1.95, 2 Li 2.11
O6 0.7426 0.7426 0.2361  2 Co 1.92, 1 Ti 1.95, 2 Li 2.11
O7 0.7639 0.2574 0.2574  2 Co 1.92, 1 Ti 1.95, 2 Li 2.11
O8 0.7645 0.7645 0.7645  3 Co 1.90

Space-group type ... R-3m (166)

Pick 1: it beats the second-best structure by 1.9 kJ/mol of atoms.

1 | LiCo2Os | GGA-PBEsol | optimized geometry

a b c (Å): 2.5423 2.5423 8.5702
angles (deg): 90.00 90.00 116.05
With the nearest neighbours (Å) after each atom.
Sites, in units of the cell vectors:
Li1 0.0000 0.0000 0.0000  6 Li 2.54-2.69, 4 Co 2.56
Co1 0.5000 0.5000 0.2535  2 Os 2.51, 6 Co 2.54-2.69, 2 Li 2.56
Co2 0.5000 0.5000 0.7465  2 Os 2.51, 6 Co 2.54-2.69, 2 Li 2.56
Os1 0.0000 0.0000 0.5000  4 Co 2.51, 6 Os 2.54-2.69

N(E_F) ... 4.569 states/eV/cell
Space-group type ... Cmmm (65)

2 | LiCo2Os | GGA-PBEsol | optimized geometry

a b c (Å): 2.5077 3.7191 4.9157
angles (deg): 90.00 90.00 90.00
With the nearest neighbours (Å) after each atom.
Sites, in units of the cell vectors:
Li1 0.0000 0.0000 0.0000  6 Co 2.44-2.48, 2 Li 2.51, 4 Os 2.65
Co1 0.0000 0.0000 0.5046  2 Li 2.44-2.48, 4 Os 2.48, 6 Co 2.51-2.64
Co2 0.5000 0.5000 0.7884  2 Os 2.46, 4 Li 2.47, 6 Co 2.51-2.64
Os1 0.5000 0.5000 0.2886  6 Co 2.46-2.48, 2 Os 2.51, 4 Li 2.65

N(E_F) ... 4.216 states/eV/cell
Space-group type ... Pmm2 (25)

Pick 2: it beats the second-best structure by 9.1 kJ/mol of atoms.

1 | Li2CoRe | GGA-PBEsol | optimized geometry

a b c (Å): 3.9971 3.9971 3.9971
angles (deg): 60.00 60.00 60.00
With the nearest neighbours (Å) after each atom.
Sites, in units of the cell vectors:
Li1 0.0000 0.0000 0.0000  4 Co 2.45, 4 Li 2.45
Li2 0.2500 0.2500 0.2500  4 Re 2.45, 4 Li 2.45
Co1 0.7500 0.7500 0.7500  4 Re 2.45, 4 Li 2.45
Re1 0.5000 0.5000 0.5000  4 Co 2.45, 4 Li 2.45

N(E_F) ... 0.800 states/eV/cell
Space-group type ... F-43m (216)

2 | Li2CoRe | GGA-PBEsol | optimized geometry

a b c (Å): 5.1889 5.1889 5.1889
angles (deg): 151.37 131.99 56.85
With the nearest neighbours (Å) after each atom.
Sites, in units of the cell vectors:
Li1 0.2330 0.2330 0.0000  2 Co 2.48, 6 Li 2.49-2.57, 2 Re 2.75
Li2 0.7670 0.7670 0.0000  2 Co 2.48, 6 Li 2.49-2.57, 2 Re 2.75
Co1 0.0000 0.5000 0.5000  4 Re 2.47, 4 Li 2.48, 2 Co 2.57
Re1 0.5000 0.0000 0.5000  4 Co 2.47, 2 Re 2.57, 4 Li 2.75

N(E_F) ... 3.040 states/eV/cell
Space-group type ... Immm (71)

Pick 2: it beats the second-best structure by 7.3 kJ/mol of atoms.

1 | Li2CoRe | GGA-PBEsol | optimized geometry

a b c (Å): 5.0339 5.0339 5.0339
angles (deg): 141.16 141.16 56.10
With the nearest neighbours (Å) after each atom.
Sites, in units of the cell vectors:
Li1 0.2500 0.7500 0.5000  4 Li 2.37
Li2 0.7500 0.2500 0.5000  4 Li 2.37
Co1 0.0000 0.0000 0.0000  4 Re 2.37
Re1 0.5000 0.5000 0.0000  4 Co 2.37

N(E_F) ... 4.468 states/eV/cell
Space-group type ... I4/mmm (139)

2 | Li2CoRe | GGA-PBEsol | optimized geometry

a b c (Å): 2.4727 4.3822 4.6730
angles (deg): 90.00 90.00 90.00
With the nearest neighbours (Å) after each atom.
Sites, in units of the cell vectors:
Li1 0.0000 0.0000 0.2479  4 Li 2.32-2.47
Li2 0.0000 0.0000 0.7521  4 Li 2.32-2.47
Co1 0.5000 0.5000 0.0000  2 Re 2.34, 2 Co 2.47
Re1 0.5000 0.5000 0.5000  2 Co 2.34, 2 Re 2.47

N(E_F) ... 3.071 states/eV/cell
Space-group type ... Pmmm (47)

3 | Li2CoRe | GGA-PBEsol | optimized geometry

a b c (Å): 4.0152 4.0152 4.0152
angles (deg): 60.00 60.00 60.00
With the nearest neighbours (Å) after each atom.
Sites, in units of the cell vectors:
Li1 0.2500 0.2500 0.2500  4 Re 2.46, 4 Co 2.46
Li2 0.7500 0.7500 0.7500  4 Re 2.46, 4 Co 2.46
Co1 0.0000 0.0000 0.0000  8 Li 2.46
Re1 0.5000 0.5000 0.5000  8 Li 2.46

N(E_F) ... 3.193 states/eV/cell
Space-group type ... Fm-3m (225)

Pick 2: it beats the second-best structure by 4.0 kJ/mol of atoms.

1 | LiCoRh2 | GGA-PBEsol | optimized geometry

a b c (Å): 8.6320 8.6320 8.6320
angles (deg): 17.55 17.55 17.55
With the nearest neighbours (Å) after each atom.
Sites, in units of the cell vectors:
Li1 0.0000 0.0000 0.0000  6 Li 2.63, 6 Rh 2.68
Co1 0.5000 0.5000 0.5000  6 Rh 2.54, 6 Co 2.63
Rh1 0.2467 0.2467 0.2467  3 Co 2.54, 6 Rh 2.63, 3 Li 2.68
Rh2 0.7533 0.7533 0.7533  3 Co 2.54, 6 Rh 2.63, 3 Li 2.68

N(E_F) ... 3.498 states/eV/cell
Space-group type ... R-3m (166)

2 | LiCoRh2 | GGA-PBEsol | optimized geometry

a b c (Å): 4.0916 4.0916 4.0916
angles (deg): 60.00 60.00 60.00
With the nearest neighbours (Å) after each atom.
Sites, in units of the cell vectors:
Li1 0.0000 0.0000 0.0000  8 Rh 2.51
Co1 0.5000 0.5000 0.5000  8 Rh 2.51
Rh1 0.2500 0.2500 0.2500  4 Co 2.51, 4 Li 2.51
Rh2 0.7500 0.7500 0.7500  4 Co 2.51, 4 Li 2.51

N(E_F) ... 4.011 states/eV/cell
Space-group type ... Fm-3m (225)

3 | LiCoRh2 | GGA-PBEsol | optimized geometry

a b c (Å): 2.5909 2.5909 8.6142
angles (deg): 90.00 90.00 117.22
With the nearest neighbours (Å) after each atom.
Sites, in units of the cell vectors:
Li1 0.0000 0.0000 0.0000  4 Rh 2.58, 6 Li 2.59-2.70
Co1 0.0000 0.0000 0.5000  4 Rh 2.50, 6 Co 2.59-2.70
Rh1 0.5000 0.5000 0.2556  2 Co 2.50, 2 Li 2.58, 6 Rh 2.59-2.70
Rh2 0.5000 0.5000 0.7444  2 Co 2.50, 2 Li 2.58, 6 Rh 2.59-2.70

N(E_F) ... 4.782 states/eV/cell
Space-group type ... Cmmm (65)

4 | LiCoRh2 | GGA-PBEsol | optimized geometry

a b c (Å): 2.5819 4.1072 4.7351
angles (deg): 90.00 94.79 90.00
With the nearest neighbours (Å) after each atom.
Sites, in units of the cell vectors:
Li1 0.0000 0.0000 0.0000  4 Rh 2.46, 2 Li 2.58, 2 Co 2.60
Co1 0.5000 0.0000 0.5000  4 Rh 2.51, 2 Co 2.58, 4 Li 2.60-2.79
Rh1 0.2364 0.5000 0.7555  2 Li 2.46, 2 Co 2.51, 5 Rh 2.58-2.71
Rh2 0.7636 0.5000 0.2445  2 Li 2.46, 2 Co 2.51, 5 Rh 2.58-2.71

N(E_F) ... 4.168 states/eV/cell
Space-group type ... P2/m (10)

Pick 1: it beats the second-best structure by 4.7 kJ/mol of atoms.

1 | LiCoRu2 | GGA-PBEsol | optimized geometry

a b c (Å): 2.5755 2.5755 8.7753
angles (deg): 90.00 90.00 116.97
With the nearest neighbours (Å) after each atom.
Sites, in units of the cell vectors:
Li1 0.0000 0.0000 0.0000  2 Co 2.56, 6 Li 2.58-2.69, 2 Ru 2.65
Co1 0.5000 0.5000 0.7524  2 Ru 2.48, 2 Li 2.56, 6 Co 2.58-2.69
Ru1 0.0000 0.0000 0.5146  2 Co 2.48, 8 Ru 2.58-2.69
Ru2 0.5000 0.5000 0.2607  8 Ru 2.58-2.69, 2 Li 2.65

N(E_F) ... 5.193 states/eV/cell
Space-group type ... Cmm2 (35)

2 | LiCoRu2 | GGA-PBEsol | optimized geometry

a b c (Å): 4.4749 4.4749 4.4219
angles (deg): 98.63 98.63 33.42
With the nearest neighbours (Å) after each atom.
Sites, in units of the cell vectors:
Li1 0.0000 0.0000 0.0000  3 Co 2.43-2.57, 7 Ru 2.54-2.72, 2 Li 2.57
Co1 0.7535 0.7535 0.2052  3 Li 2.43-2.57, 6 Ru 2.51-2.61, 2 Co 2.57
Ru1 0.2388 0.2388 0.7138  5 Ru 2.48-2.57, 4 Co 2.51-2.61, 3 Li 2.57-2.72
Ru2 0.4865 0.4865 0.4917  5 Ru 2.48-2.57, 2 Co 2.54, 4 Li 2.54-2.58

N(E_F) ... 4.535 states/eV/cell
Space-group type ... Cm (8)

3 | LiCoRu2 | GGA-PBEsol | optimized geometry

a b c (Å): 8.7671 8.7671 8.7671
angles (deg): 17.03 17.03 17.03
With the nearest neighbours (Å) after each atom.
Sites, in units of the cell vectors:
Li1 0.0000 0.0000 0.0000  6 Li 2.60, 6 Ru 2.76
Co1 0.5000 0.5000 0.5000  6 Ru 2.50, 6 Co 2.60
Ru1 0.2440 0.2440 0.2440  3 Co 2.50, 6 Ru 2.60, 3 Li 2.76
Ru2 0.7560 0.7560 0.7560  3 Co 2.50, 6 Ru 2.60, 3 Li 2.76

N(E_F) ... 3.851 states/eV/cell
Space-group type ... R-3m (166)

4 | LiCoRu2 | GGA-PBEsol | optimized geometry

a b c (Å): 4.4305 4.4305 4.4305
angles (deg): 131.57 131.57 70.90
With the nearest neighbours (Å) after each atom.
Sites, in units of the cell vectors:
Li1 0.0000 0.0000 0.0000  4 Co 2.56, 8 Ru 2.56-2.57
Co1 0.2500 0.7500 0.5000  4 Li 2.56, 8 Ru 2.56-2.57
Ru1 0.5000 0.5000 0.0000  4 Ru 2.56, 4 Co 2.56, 4 Li 2.57
Ru2 0.7500 0.2500 0.5000  4 Li 2.56, 4 Ru 2.56, 4 Co 2.57

N(E_F) ... 5.439 states/eV/cell
Space-group type ... I-4m2 (119)

Pick 3: it beats the second-best structure by 2.1 kJ/mol of atoms.

1 | LiCo2Ru | GGA-PBEsol | optimized geometry

a b c (Å): 4.9107 4.9107 4.9107
angles (deg): 149.45 128.85 60.76
With the nearest neighbours (Å) after each atom.
Sites, in units of the cell vectors:
Li1 0.0000 0.0000 0.0000  6 Co 2.49-2.51, 2 Li 2.59, 2 Ru 2.64
Co1 0.2543 0.7543 0.5000  4 Co 2.33-2.59, 4 Ru 2.49, 2 Li 2.51
Co2 0.4826 0.4826 0.0000  4 Co 2.33-2.59, 2 Ru 2.45, 4 Li 2.49
Ru1 0.7283 0.2283 0.5000  6 Co 2.45-2.49, 2 Ru 2.59, 2 Li 2.64

N(E_F) ... 3.939 states/eV/cell
Space-group type ... Imm2 (44)

2 | LiCo2Ru | GGA-PBEsol | optimized geometry

a b c (Å): 2.5228 3.5689 4.8903
angles (deg): 90.00 90.00 90.00
With the nearest neighbours (Å) after each atom.
Sites, in units of the cell vectors:
Li1 0.0000 0.0000 0.0000  2 Ru 2.45, 8 Co 2.50, 2 Li 2.52
Co1 0.5000 0.5000 0.2486  4 Co 2.43-2.52, 4 Li 2.50, 4 Ru 2.51
Co2 0.5000 0.5000 0.7514  4 Co 2.43-2.52, 4 Li 2.50, 4 Ru 2.51
Ru1 0.0000 0.0000 0.5000  2 Li 2.45, 8 Co 2.51, 2 Ru 2.52

N(E_F) ... 4.987 states/eV/cell
Space-group type ... Pmmm (47)

Pick 2: it beats the second-best structure by 0.8 kJ/mol of atoms.

1 | Li2ScCo | GGA-PBEsol | optimized geometry

a b c (Å): 5.3514 5.3514 5.3514
angles (deg): 141.46 141.46 55.64
With the nearest neighbours (Å) after each atom.
Sites, in units of the cell vectors:
Li1 0.2500 0.7500 0.5000  4 Li 2.50
Li2 0.7500 0.2500 0.5000  4 Li 2.50
Sc1 0.0000 0.0000 0.0000  4 Co 2.50
Co1 0.5000 0.5000 0.0000  4 Sc 2.50

N(E_F) ... 2.182 states/eV/cell
Space-group type ... I4/mmm (139)

2 | Li2ScCo | GGA-PBEsol | optimized geometry

a b c (Å): 10.3783 10.3783 10.3783
angles (deg): 160.54 160.54 27.65
With the nearest neighbours (Å) after each atom.
Sites, in units of the cell vectors:
Li1 0.0922 0.1250 0.4672  2 Li 2.32
Li2 0.3750 0.9078 0.0328  2 Li 2.32
Li3 0.6578 0.6250 0.5328  2 Li 2.32
Li4 0.8750 0.3422 0.9672  2 Li 2.32
Sc1 0.2500 0.7500 0.5000  4 Co 2.48
Sc2 0.5000 0.5000 0.0000  4 Co 2.48
Co1 0.0000 0.0000 0.0000  4 Sc 2.48, 4 Li 2.77
Co2 0.7500 0.2500 0.5000  4 Sc 2.48, 4 Li 2.77

N(E_F) ... 5.276 states/eV/cell
Space-group type ... I-42d (122)

Pick 1: it beats the second-best structure by 10.8 kJ/mol of atoms.

1 | LiScCo2 | GGA-PBEsol | optimized geometry

a b c (Å): 8.0119 8.0119 8.0119
angles (deg): 20.29 20.29 20.29
With the nearest neighbours (Å) after each atom.
Sites, in units of the cell vectors:
Li1 0.0000 0.0000 0.0000  6 Co 2.57, 6 Li 2.82
Sc1 0.5000 0.5000 0.5000  6 Co 2.53, 6 Sc 2.82
Co1 0.2489 0.2489 0.2489  3 Sc 2.53, 3 Li 2.57, 6 Co 2.82
Co2 0.7511 0.7511 0.7511  3 Sc 2.53, 3 Li 2.57, 6 Co 2.82

N(E_F) ... 3.496 states/eV/cell
Space-group type ... R-3m (166)

2 | LiScCo2 | GGA-PBEsol | optimized geometry

a b c (Å): 2.7484 3.8336 5.1961
angles (deg): 90.00 103.65 90.00
With the nearest neighbours (Å) after each atom.
Sites, in units of the cell vectors:
Li1 0.0000 0.0000 0.0000  3 Co 2.34-2.43
Sc1 0.5792 0.5000 0.3112  3 Co 2.42-2.64
Co1 0.1476 0.0000 0.5748  2 Co 2.33, 1 Li 2.34
Co2 0.5489 0.5000 0.7734  2 Co 2.33, 1 Sc 2.42, 2 Li 2.43

N(E_F) ... 3.484 states/eV/cell
Space-group type ... Pm (6)

Pick 2: it beats the second-best structure by 15.9 kJ/mol of atoms.

1 | Sr2LiCo | GGA-PBEsol | optimized geometry

a b c (Å): 5.2686 5.2686 5.2686
angles (deg): 60.00 60.00 60.00
With the nearest neighbours (Å) after each atom.
Sites, in units of the cell vectors:
Sr1 0.2500 0.2500 0.2500  4 Co 3.23, 4 Li 3.23
Sr2 0.7500 0.7500 0.7500  4 Co 3.23, 4 Li 3.23
Li1 0.0000 0.0000 0.0000  8 Sr 3.23
Co1 0.5000 0.5000 0.5000  8 Sr 3.23

N(E_F) ... 6.372 states/eV/cell
Space-group type ... Fm-3m (225)

2 | Sr2LiCo | GGA-PBEsol | optimized geometry

a b c (Å): 5.2401 5.2401 5.2401
angles (deg): 60.00 60.00 60.00
With the nearest neighbours (Å) after each atom.
Sites, in units of the cell vectors:
Sr1 0.0000 0.0000 0.0000  4 Co 3.21, 4 Sr 3.21
Sr2 0.2500 0.2500 0.2500  4 Li 3.21, 4 Sr 3.21
Li1 0.5000 0.5000 0.5000  4 Co 3.21, 4 Sr 3.21
Co1 0.7500 0.7500 0.7500  4 Li 3.21, 4 Sr 3.21

N(E_F) ... 7.573 states/eV/cell
Space-group type ... F-43m (216)

Pick 1: it beats the second-best structure by 22.1 kJ/mol of atoms.

1 | LiTa2Co | GGA-PBEsol | optimized geometry

a b c (Å): 2.7394 3.7099 5.5914
angles (deg): 90.00 90.00 90.00
With the nearest neighbours (Å) after each atom.
Sites, in units of the cell vectors:
Li1 0.0000 0.0000 0.0000  8 Ta 2.73, 2 Li 2.74, 2 Co 2.80
Ta1 0.5000 0.5000 0.2619  4 Co 2.66, 4 Ta 2.66-2.93, 4 Li 2.73
Ta2 0.5000 0.5000 0.7381  4 Co 2.66, 4 Ta 2.66-2.93, 4 Li 2.73
Co1 0.0000 0.0000 0.5000  8 Ta 2.66, 2 Co 2.74, 2 Li 2.80

N(E_F) ... 3.429 states/eV/cell
Space-group type ... Pmmm (47)

2 | LiTa2Co | GGA-PBEsol | optimized geometry

a b c (Å): 4.9020 4.9020 4.9020
angles (deg): 140.88 127.40 67.47
With the nearest neighbours (Å) after each atom.
Sites, in units of the cell vectors:
Li1 0.0000 0.0000 0.0000  4 Co 2.72, 8 Ta 2.75-2.86
Ta1 0.2711 0.7711 0.5000  2 Co 2.49, 4 Ta 2.74, 2 Li 2.75
Ta2 0.7289 0.2289 0.5000  2 Co 2.49, 4 Ta 2.74, 2 Li 2.75
Co1 0.5000 0.5000 0.0000  4 Ta 2.49, 4 Li 2.72

N(E_F) ... 3.531 states/eV/cell
Space-group type ... Immm (71)

Pick 1: it beats the second-best structure by 0.7 kJ/mol of atoms.